Tb4Pr7Sm: optimized geometry, GGA-PBE.

CIF file:
```
data_Tb4Pr7Sm
_chemical_formula_sum 'Tb4 Pr7 Sm1'
_space_group_name_H-M_alt 'P 1'
_space_group_IT_number 1
_cell_length_a 6.079
_cell_length_b 9.870
_cell_length_c 8.714
_cell_angle_alpha 61.27
_cell_angle_beta 69.58
_cell_angle_gamma 72.06
loop_
_space_group_symop_operation_xyz
'x,y,z'
loop_
_atom_site_label
_atom_site_fract_x
_atom_site_fract_y
_atom_site_fract_z
_atom_site_occupancy
Sm1 0.000 0.000 0.000 1
Pr1 0.212 0.118 0.458 1
Pr2 0.788 0.882 0.542 1
Pr3 0.789 0.234 0.188 1
Pr4 0.211 0.766 0.812 1
Pr5 0.085 0.553 0.277 1
Tb1 0.671 0.614 0.044 1
Pr6 0.915 0.447 0.723 1
Tb2 0.571 0.303 0.555 1
Tb3 0.429 0.697 0.445 1
Tb4 0.329 0.386 0.956 1
Pr7 0.500 0.000 0.000 1
```

Formation energy = 0.202 eV/atom
Spin magnetization = 0.1 μB per formula unit
SG = C2/m

KLa2Ag: optimized geometry, GGA-PBE.

CIF file:
```
data_KLa2Ag
_chemical_formula_sum 'K1 La2 Ag1'
_space_group_name_H-M_alt 'P 1'
_space_group_IT_number 1
_cell_length_a 5.755
_cell_length_b 4.883
_cell_length_c 4.883
_cell_angle_alpha 90.00
_cell_angle_beta 90.00
_cell_angle_gamma 90.00
loop_
_space_group_symop_operation_xyz
'x,y,z'
loop_
_atom_site_label
_atom_site_fract_x
_atom_site_fract_y
_atom_site_fract_z
_atom_site_occupancy
La1 0.000 0.500 0.500 1
La2 0.000 0.000 0.000 1
Ag1 0.500 0.500 0.000 1
K1 0.500 0.000 0.500 1
```

Formation energy = 0.314 eV/atom
Spin magnetization = 0.1 μB per formula unit
SG = P4/mmm